No. 1
Density functional theory data (PBE) for a relaxed structure of Rb3BO.

Geometry as POSCAR:
```
Rb3BO
1.0
5.5583 0.0000 0.0000
0.0000 5.5583 0.0000
0.0000 0.0000 5.5583
Rb B O
3 1 1
direct
0.0000 0.0000 0.5000
0.0000 0.5000 0.0000
0.5000 0.0000 0.0000
0.5000 0.5000 0.5000
0.0000 0.0000 0.0000
```

Distance to the lowest polymorph of the same formula, meV per atom: 0
Uncorrected formation energy, meV per atom: 308
Total magnetic moment, Bohr magnetons per cell: 2.4

***

No. 2
Density functional theory data (PBE) for a relaxed structure of ZnInW2.

Geometry as POSCAR:
```
ZnInW2
1.0
-1.8778 0.1264 -4.4565
-4.0472 -2.6288 0.3343
1.4345 3.6943 2.7742
W Zn In
2 1 1
direct
0.2500 0.7500 0.5000
0.0000 0.0000 0.0000
0.5000 0.5000 0.0000
0.7500 0.2500 0.5000
```

Distance to the lowest polymorph of the same formula, meV per atom: 180
E_form, eV per atom: 0.52
Total magnetic moment, Bohr magnetons per cell: 0.0

***

No. 3
Density functional theory data (PBE) for a relaxed structure of SrMgW4.

Geometry as POSCAR:
```
SrMgW4
1.0
0.0000 3.9118 3.9118
3.9118 0.0000 3.9118
3.9118 3.9118 0.0000
W Mg Sr
4 1 1
direct
0.3747 0.3747 0.8759
0.8759 0.3747 0.3747
0.3747 0.8759 0.3747
0.3747 0.3747 0.3747
0.7500 0.7500 0.7500
0.0000 0.0000 0.0000
```

E_form, eV per atom: 0.74
Total magnetic moment, Bohr magnetons per cell: 0.0

***

No. 4
Density functional theory data (PBE) for a relaxed structure of Rb2ErNpO6.

Geometry as POSCAR:
```
Rb2ErNpO6
1.0
-3.5516 4.5271 -2.0436
-4.9646 -3.1543 1.6404
0.2270 3.6990 7.7996
O Rb Np Er
12 4 2 2
direct
0.2367 0.5137 0.0000
0.2633 0.4863 0.5000
0.5000 0.2499 0.2633
0.0000 0.7501 0.7633
0.2366 0.9869 0.0000
0.5000 0.2499 0.7367
0.7367 0.4863 0.5000
0.7633 0.5137 0.0000
0.2634 0.0131 0.5000
0.7366 0.0131 0.5000
0.0000 0.7501 0.2367
0.7634 0.9869 0.0000
0.5000 0.7499 0.7500
0.0000 0.2501 0.7500
0.5000 0.7499 0.2500
0.0000 0.2501 0.2500
0.0000 0.7502 0.0000
0.5000 0.2498 0.5000
0.5000 0.2502 0.0000
0.0000 0.7498 0.5000
```

Uncorrected formation energy, meV per atom: -2657
Total magnetic moment, Bohr magnetons per cell: 0.0

***

No. 5
Density functional theory data (PBE) for a relaxed structure of VOsI3.

Geometry as POSCAR:
```
VOsI3
1.0
-0.1235 -3.5304 4.2508
-0.7105 -4.2064 -3.5142
5.4798 -0.6249 -0.3599
V I Os
1 3 1
direct
0.0000 0.0000 0.0000
0.0000 0.5000 0.0000
0.5000 0.0000 0.0000
0.0000 0.0000 0.5000
0.5000 0.5000 0.5000
```

Uncorrected formation energy, meV per atom: 1300
Total magnetic moment, Bohr magnetons per cell: 7.2

***

No. 6
Density functional theory data (PBE) for a relaxed structure of CsGePb2Cl8.

Geometry as POSCAR:
```
CsGePb2Cl8
1.0
6.7686 0.3479 0.3846
0.3923 6.7708 0.5002
0.5421 0.7317 9.2498
Cl Pb Ge Cs
8 2 1 1
direct
0.6168 0.7210 0.4704
0.8473 0.2411 0.7991
0.2806 0.2166 0.9859
0.3832 0.2790 0.5296
0.1939 0.8004 0.8197
0.1527 0.7589 0.2009
0.7194 0.7834 0.0141
0.8061 0.1996 0.1803
0.4738 0.4611 0.7497
0.5262 0.5389 0.2503
0.0000 0.0000 0.0000
0.0000 0.0000 0.5000
```

Uncorrected formation energy, meV per atom: -1098
Total magnetic moment, Bohr magnetons per cell: 0.0

***

Electronic total energy: -2.60 -6.96 -8.44 -7.58 -3.70 -3.40 (eV per atom)